3
Lattice="0.000 3.103 3.103 3.103 0.000 3.103 3.103 3.103 0.000" Properties=species:S:1:pos:R:3 comment="meta-GGA SCAN AlZnCd, PBEsol geometry" de_polymorph_mev_per_atom=123 formation_enthalpy_0k_ev_per_atom=0.1907 space_group="F-43m, No. 216" pbc="T T T"
Al 0.000 0.000 0.000
Zn 3.103 3.103 3.103
Cd 4.654 4.654 4.654

---

5
Lattice="5.425 0.000 0.000 0.000 5.425 0.000 0.000 0.000 3.689" Properties=species:S:1:pos:R:3 comment="meta-GGA SCAN PtRhI2O, PBEsol geometry" dft_energy_ev_per_atom=-36.268 space_group="P4/mmm, No. 123" pbc="T T T"
Pt 0.000 0.000 0.000
Rh 2.713 2.713 1.844
I 0.000 2.713 0.000
I 2.713 0.000 0.000
O 0.000 0.000 1.844

---

5
Lattice="4.412 0.000 0.000 0.000 4.412 0.000 0.000 0.000 4.412" Properties=species:S:1:pos:R:3 comment="meta-GGA SCAN RbPt3O, PBEsol geometry" dft_energy_ev_per_atom=-46.769 space_group="Pm-3m, No. 221" pbc="T T T"
Rb 0.000 0.000 0.000
Pt 0.000 2.206 2.206
Pt 2.206 0.000 2.206
Pt 2.206 2.206 0.000
O 2.206 2.206 2.206